Version a
AgSbCl4: optimized geometry, PBE-GGA.

V   29.9 Å³/atom
Symmetry   C2/c, No. 15
Total magnetization   0.0 μB per formula unit

Cell: 9.0779 9.0779 6.7687 Å, 105.04 105.04 127.44°
Sites, in units of the cell vectors:
Ag: 0.1648 0.8352 0.7500
Ag: 0.8352 0.1648 0.2500
Sb: 0.3249 0.6751 0.2500
Sb: 0.6751 0.3249 0.7500
Cl: 0.0780 0.4674 0.7594
Cl: 0.1950 0.3386 0.2330
Cl: 0.3386 0.1950 0.7330
Cl: 0.4674 0.0780 0.2594
Cl: 0.5326 0.9220 0.7406
Cl: 0.6614 0.8050 0.2670
Cl: 0.8050 0.6614 0.7670
Cl: 0.9220 0.5326 0.2406

***

Version b
AgSbCl4: optimized geometry, PBE-GGA.

V   23.8 Å³/atom
Symmetry   F-43m, No. 216
Total magnetization   1.5 μB per formula unit

Cell: 5.8693 5.8693 5.8693 Å, 60.00 60.00 60.00°
Sites, in units of the cell vectors:
Ag: 0.0000 0.0000 0.0000
Sb: 0.2500 0.2500 0.2500
Cl: 0.1227 0.6258 0.6258
Cl: 0.6258 0.1227 0.6258
Cl: 0.6258 0.6258 0.1227
Cl: 0.6258 0.6258 0.6258

***

Which is the most stable structure? version a is the most stable.

***

Version a
AgSbCl5: optimized geometry, PBE-GGA.

V   34.8 Å³/atom
Symmetry   P2_1/c, No. 14
Total magnetization   0.0 μB per formula unit

Cell: 7.7825 13.3922 9.4634 Å, 90.00 98.46 90.00°
Sites, in units of the cell vectors:
Ag: 0.2481 0.2454 0.1271
Ag: 0.2481 0.2546 0.6271
Ag: 0.7519 0.7454 0.3729
Ag: 0.7519 0.7546 0.8729
Sb: 0.1506 0.5115 0.2142
Sb: 0.1506 0.9885 0.7142
Sb: 0.8494 0.0115 0.2858
Sb: 0.8494 0.4885 0.7858
Cl: 0.1171 0.0855 0.1681
Cl: 0.1171 0.4145 0.6681
Cl: 0.1199 0.6275 0.0144
Cl: 0.1199 0.8725 0.5144
Cl: 0.2433 0.1923 0.8751
Cl: 0.2433 0.3077 0.3751
Cl: 0.3656 0.6069 0.3584
Cl: 0.3656 0.8931 0.8584
Cl: 0.3747 0.0901 0.5871
Cl: 0.3747 0.4098 0.0871
Cl: 0.6253 0.5901 0.9129
Cl: 0.6253 0.9098 0.4129
Cl: 0.6344 0.1069 0.1416
Cl: 0.6344 0.3931 0.6416
Cl: 0.7567 0.6923 0.6249
Cl: 0.7567 0.8077 0.1249
Cl: 0.8801 0.1275 0.4856
Cl: 0.8801 0.3725 0.9856
Cl: 0.8829 0.5855 0.3319
Cl: 0.8829 0.9145 0.8319

***

Version b
AgSbCl5: optimized geometry, PBE-GGA.

V   29.2 Å³/atom
Symmetry   C2/c, No. 15
Total magnetization   0.0 μB per formula unit

Cell: 6.9404 6.9404 10.1563 Å, 112.10 112.10 70.13°
Sites, in units of the cell vectors:
Ag: 0.0357 0.9643 0.7500
Ag: 0.9643 0.0357 0.2500
Sb: 0.5000 0.5000 0.0000
Sb: 0.5000 0.5000 0.5000
Cl: 0.1574 0.7556 0.0447
Cl: 0.2008 0.3096 0.3589
Cl: 0.2444 0.8426 0.4553
Cl: 0.3096 0.2008 0.8589
Cl: 0.3849 0.6151 0.7500
Cl: 0.6151 0.3849 0.2500
Cl: 0.6904 0.7992 0.1411
Cl: 0.7556 0.1574 0.5447
Cl: 0.7992 0.6904 0.6411
Cl: 0.8426 0.2444 0.9553

***

Which is the most stable structure? version a is the most stable.

***

Version a
ScAgCl2: optimized geometry, PBE-GGA.

V   27.4 Å³/atom
Symmetry   Cmmm, No. 65
Total magnetization   0.1 μB per formula unit

Cell: 3.4019 3.4019 10.9005 Å, 90.00 90.00 119.85°
Sites, in units of the cell vectors:
Sc: 0.0000 0.0000 0.0000
Ag: 0.0000 0.0000 0.5000
Cl: 0.5000 0.5000 0.1669
Cl: 0.5000 0.5000 0.8331

***

Version b
ScAgCl2: optimized geometry, PBE-GGA.

V   26.1 Å³/atom
Symmetry   R-3m, No. 166
Total magnetization   0.3 μB per formula unit

Cell: 10.6737 10.6737 10.6737 Å, 18.26 18.26 18.26°
Sites, in units of the cell vectors:
Sc: 0.0000 0.0000 0.0000
Ag: 0.5000 0.5000 0.5000
Cl: 0.2817 0.2817 0.2817
Cl: 0.7183 0.7183 0.7183

***

Version c
ScAgCl2: optimized geometry, PBE-GGA.

V   20.2 Å³/atom
Symmetry   I-4m2, No. 119
Total magnetization   0.5 μB per formula unit

Cell: 6.1460 6.1460 6.1460 Å, 143.69 143.69 52.30°
Sites, in units of the cell vectors:
Sc: 0.0000 0.0000 0.0000
Ag: 0.2500 0.7500 0.5000
Cl: 0.5000 0.5000 0.0000
Cl: 0.7500 0.2500 0.5000

***

Which is the most stable structure? version b is the most stable.